[1]
A geometry-optimized Sr2HfMnW structure, computed with PBE.

Cell: 5.9805 4.3105 5.9805 Å, 90.00 90.00 90.00°
Positions (direct):
Mn  0.0000  0.5000  0.0000
Sr  0.0000  0.0000  0.5000
Sr  0.5000  0.0000  0.0000
W  0.0000  0.0000  0.0000
Hf  0.5000  0.5000  0.5000

**Spin magnetization**: 0.00 μB per formula unit
**Excess energy over the best structure of this formula in the dataset**: 54 meV/atom
**Energy of formation from the pure elements**: 1.66 eV per atom

[2]
A geometry-optimized YTlN3 structure, computed with PBE.

Cell: 4.1794 4.1794 4.1794 Å, 90.00 90.00 90.00°
Positions (direct):
Tl  0.0000  0.0000  0.0000
N  0.5000  0.0000  0.0000
N  0.0000  0.0000  0.5000
Y  0.5000  0.5000  0.5000
N  0.0000  0.5000  0.0000

**Spin magnetization**: 0.00 μB per formula unit
**ΔE_f (raw)**: 1.215 eV per atom

[3]
A geometry-optimized CaAc2Ru structure, computed with PBE.

Cell: 3.7211 3.7211 10.1985 Å, 90.00 90.00 90.00°
Positions (direct):
Ru  0.5000  0.5000  0.0000
Ac  0.0000  0.0000  0.8252
Ca  0.5000  0.5000  0.5000
Ac  0.0000  0.0000  0.1748

**Spin magnetization**: 0.00 μB per formula unit
**Excess energy over the best structure of this formula in the dataset**: 103 meV/atom
**Energy of formation from the pure elements**: 0.00 eV per atom